Entry from Alexandria via LeMat-Bulk: a crystal of YZnPdF2 relaxed with PBEsol (SCAN).

Lattice parameters (Å, degrees): 3.8425 3.8425 7.7751 90.00 90.00 90.00
Space group P4/mmm (No. 123)
Symmetry-distinct sites (fractional):
Y 0.0000 0.0000 0.0000 x1
Zn 0.0000 0.0000 0.5000 x1
Pd 0.5000 0.5000 0.0000 x1
F 0.0000 0.5000 0.5000 x2

Computed properties:
Its crystal system is tetragonal. The calculation puts the uncorrected formation energy at -116 kJ/mol of atoms. As for the total energy: -17.440 eV/atom.